(1)
The following is a PBE-GGA calculation of a relaxed BSbAu2 crystal, from Alexandria.

Cell: 4.9895 4.9895 7.5579 Å, 70.73 70.73 90.00°
Positions (direct):
Sb: 0.0000 0.0000 0.0000
Sb: 0.7500 0.2500 0.5000
B: 0.5000 0.5000 0.0000
B: 0.2500 0.7500 0.5000
Au: 0.5136 0.1250 0.2500
Au: 0.2364 0.6250 0.2500
Au: 0.3750 0.4864 0.7500
Au: 0.8750 0.7636 0.7500

SG = I-42d, No. 122
raw formation energy = 435 meV per atom

***

(2)
The following is a PBE-GGA calculation of a relaxed Cd2SiHg crystal, from Alexandria.

Cell: 12.0718 12.0718 12.0718 Å, 13.96 13.96 13.96°
Positions (direct):
Cd: 0.0060 0.0060 0.0060
Cd: 0.4940 0.4940 0.4940
Hg: 0.2500 0.2500 0.2500
Si: 0.7500 0.7500 0.7500

SG = R-3m, No. 166
raw formation energy = 246 meV per atom

***

(3)
The following is a PBE-GGA calculation of a relaxed PrTmRh crystal, from Alexandria.

Cell: 4.8793 4.8793 4.8793 Å, 60.00 60.00 60.00°
Positions (direct):
Pr: 0.0000 0.0000 0.0000
Tm: 0.5000 0.5000 0.5000
Rh: 0.2500 0.2500 0.2500

SG = F-43m, No. 216
formation energy from the elements = -505 meV/atom

***

(4)
The following is a PBE-GGA calculation of a relaxed Th4Tl2Fe crystal, from Alexandria.

Cell: 6.3417 6.7007 10.6408 Å, 90.00 116.48 90.00°
Positions (direct):
Th: 0.4958 0.4914 0.2697
Th: 0.0920 0.7500 0.9159
Th: 0.9080 0.2500 0.0841
Th: 0.4958 0.0086 0.2697
Th: 0.9135 0.2500 0.6172
Th: 0.5042 0.9914 0.7303
Th: 0.5042 0.5086 0.7303
Th: 0.0865 0.7500 0.3828
Tl: 0.6652 0.7500 0.0421
Tl: 0.3348 0.2500 0.9579
Tl: 0.2204 0.2500 0.4319
Tl: 0.7796 0.7500 0.5681
Fe: 0.1408 0.7500 0.1659
Fe: 0.8592 0.2500 0.8341

SG = P2_1/m, No. 11
formation energy from the elements = -66 meV/atom

***

(5)
The following is a PBE-GGA calculation of a relaxed TlAg3Te3 crystal, from Alexandria.

Cell: 7.7320 7.7320 9.3114 Å, 65.47 65.47 60.00°
Positions (direct):
Tl: 0.3357 0.3357 0.9930
Tl: 0.6643 0.6643 0.0070
Ag: 0.4750 0.7875 0.6024
Ag: 0.7875 0.1351 0.6024
Ag: 0.1351 0.4750 0.6024
Ag: 0.8649 0.5250 0.3976
Ag: 0.2125 0.8649 0.3976
Ag: 0.5250 0.2125 0.3976
Te: 0.2395 0.5888 0.2522
Te: 0.9195 0.2395 0.2522
Te: 0.5888 0.9195 0.2522
Te: 0.4112 0.0805 0.7478
Te: 0.0805 0.7605 0.7478
Te: 0.7605 0.4112 0.7478

SG = R-3, No. 148
raw formation energy = -70 meV per atom

***

(6)
The following is a PBE-GGA calculation of a relaxed La2NdSi crystal, from Alexandria.

Cell: 4.0183 4.0183 10.2199 Å, 78.66 78.66 60.00°
Positions (direct):
Si: 0.0000 0.0000 0.0000
Nd: 0.5000 0.5000 0.5000
La: 0.2714 0.2714 0.1858
La: 0.7286 0.7286 0.8142

SG = R-3m, No. 166
raw formation energy = -126 meV per atom

***

(7)
The following is a PBE-GGA calculation of a relaxed Be2Cl crystal, from Alexandria.

Cell: 5.0382 5.0382 8.2286 Å, 90.00 90.00 120.00°
Positions (direct):
Be: 0.0000 0.0000 0.0000
Be: 0.0000 0.0000 0.5000
Be: 0.8600 0.7200 0.2500
Be: 0.1400 0.2800 0.7500
Be: 0.2800 0.1400 0.2500
Be: 0.8600 0.1400 0.2500
Be: 0.1400 0.8600 0.7500
Be: 0.7200 0.8600 0.7500
Cl: 0.3333 0.6667 0.9242
Cl: 0.6667 0.3333 0.4242
Cl: 0.6667 0.3333 0.0758
Cl: 0.3333 0.6667 0.5758

SG = P6_3/mmc, No. 194
raw formation energy = 344 meV per atom

***

(8)
The following is a PBE-GGA calculation of a relaxed AlSiSb2 crystal, from Alexandria.

Cell: 3.9111 3.9104 6.4984 Å, 90.00 90.00 90.00°
Positions (direct):
Sb: 0.0000 0.0000 0.8221
Sb: 0.5000 0.5000 0.3402
Si: 0.0000 0.0000 0.4202
Al: 0.5000 0.5000 0.9174

SG = P4mm, No. 99
raw formation energy = 160 meV per atom

***

(9)
The following is a PBE-GGA calculation of a relaxed TaGeNF2 crystal, from Alexandria.

Cell: 4.1919 4.1919 4.0489 Å, 90.00 90.00 90.00°
Positions (direct):
N: 0.0000 0.0000 0.5000
Ge: 0.5000 0.5000 0.5000
F: 0.0000 0.5000 0.0000
F: 0.5000 0.0000 0.0000
Ta: 0.0000 0.0000 0.0000

SG = P4/mmm, No. 123
raw formation energy = -978 meV per atom

***

(10)
The following is a PBE-GGA calculation of a relaxed YRe2Pt crystal, from Alexandria.

Cell: 3.0623 3.0623 7.7177 Å, 90.00 90.00 90.00°
Positions (direct):
Pt: 0.5000 0.5000 0.7773
Re: 0.0000 0.0000 0.0220
Re: 0.5000 0.5000 0.2052
Y: 0.0000 0.0000 0.4955

SG = P4mm, No. 99
formation energy from the elements = -133 meV/atom

***

(11)
The following is a PBE-GGA calculation of a relaxed Cs2MgU2S6 crystal, from Alexandria.

Cell: 6.8904 6.8904 8.5433 Å, 97.46 97.46 120.10°
Positions (direct):
Cs: 0.8357 0.1643 0.0000
Cs: 0.1643 0.8357 0.0000
Mg: 0.0000 0.0000 0.5000
U: 0.3340 0.6660 0.5000
U: 0.6660 0.3340 0.5000
S: 0.7267 0.7267 0.6727
S: 0.0554 0.3912 0.6746
S: 0.2733 0.2733 0.3273
S: 0.3912 0.0554 0.6746
S: 0.9446 0.6088 0.3254
S: 0.6088 0.9446 0.3254

SG = C2/m, No. 12
raw formation energy = -1401 meV per atom

***

(12)
The following is a PBE-GGA calculation of a relaxed Cu2Se crystal, from Alexandria.

Cell: 4.2864 4.2864 7.2832 Å, 76.70 76.70 53.49°
Positions (direct):
Cu: 0.0848 0.0848 0.8084
Cu: 0.6387 0.6387 0.0622
Cu: 0.9152 0.9152 0.1916
Cu: 0.3613 0.3613 0.9378
Se: 0.1989 0.1989 0.2845
Se: 0.8011 0.8011 0.7155

SG = C2/m, No. 12
raw formation energy = -82 meV per atom

***

(13)
The following is a PBE-GGA calculation of a relaxed CdFe2Re crystal, from Alexandria.

Cell: 6.2688 4.7327 2.6886 Å, 90.04 64.54 122.69°
Positions (direct):
Cd: 0.5000 0.5000 0.0000
Fe: 0.0000 0.0000 0.0000
Fe: 0.5000 0.0000 0.5000
Re: 0.0000 0.5000 0.5000

SG = Cmmm, No. 65
formation energy from the elements = 426 meV/atom

***

(14)
The following is a PBE-GGA calculation of a relaxed RbYB2W crystal, from Alexandria.

Cell: 4.6483 5.0311 4.6483 Å, 90.00 90.00 90.00°
Positions (direct):
Y: 0.5000 0.5000 0.5000
B: 0.0000 0.0000 0.5000
B: 0.5000 0.0000 0.0000
Rb: 0.0000 0.0000 0.0000
W: 0.0000 0.5000 0.0000

SG = P4/mmm, No. 123
formation energy from the elements = 3097 meV/atom

***

(15)
The following is a PBE-GGA calculation of a relaxed NpTcAs2Rh crystal, from Alexandria.

Cell: 4.1514 4.1514 6.0303 Å, 110.13 110.13 90.00°
Positions (direct):
Np: 0.0000 0.0000 0.0000
Tc: 0.7500 0.2500 0.5000
As: 0.6255 0.6255 0.2510
As: 0.3745 0.3745 0.7490
Rh: 0.2500 0.7500 0.5000

SG = I-4m2, No. 119
formation energy from the elements = -412 meV/atom

***

(16)
The following is a PBE-GGA calculation of a relaxed CaAcPmGd crystal, from Alexandria.

Cell: 5.9832 5.9832 5.9832 Å, 60.00 60.00 60.00°
Positions (direct):
Ac: 0.2500 0.2500 0.2500
Gd: 0.0000 0.0000 0.0000
Ca: 0.5000 0.5000 0.5000
Pm: 0.7500 0.7500 0.7500

SG = F-43m, No. 216
formation energy from the elements = 108 meV/atom

***

(17)
The following is a PBE-GGA calculation of a relaxed Sm4YPa3P8 crystal, from Alexandria.

Cell: 8.0641 8.0778 8.0639 Å, 119.94 120.00 90.00°
Positions (direct):
Sm: 0.5000 0.0000 0.0000
Sm: 0.5000 0.0000 0.5000
Sm: 0.0000 0.0000 0.0000
Sm: 0.0000 0.0000 0.5000
Y: 0.0000 0.5000 0.0000
Pa: 0.5000 0.5000 0.0000
Pa: 0.5000 0.5000 0.5000
Pa: 0.0000 0.5000 0.5000
P: 0.2480 0.7383 0.9902
P: 0.2481 0.7383 0.4961
P: 0.2537 0.2611 0.5074
P: 0.7422 0.7383 0.9902
P: 0.2578 0.2617 0.0098
P: 0.7463 0.7389 0.4926
P: 0.7519 0.2617 0.5039
P: 0.7520 0.2617 0.0098

SG = R-3m, No. 166
formation energy from the elements = -1490 meV/atom

***

(18)
The following is a PBE-GGA calculation of a relaxed Ba2ScFeCu crystal, from Alexandria.

Cell: 6.4935 4.3502 6.4935 Å, 90.00 90.00 90.00°
Positions (direct):
Sc: 0.0000 0.0000 0.0000
Ba: 0.0000 0.0000 0.5000
Ba: 0.5000 0.0000 0.0000
Cu: 0.5000 0.5000 0.5000
Fe: 0.0000 0.5000 0.0000

SG = P4/mmm, No. 123
formation energy from the elements = 850 meV/atom

***

(19)
The following is a PBE-GGA calculation of a relaxed CuWBr2 crystal, from Alexandria.

Cell: 6.8831 6.8831 6.8831 Å, 154.25 139.45 48.66°
Positions (direct):
Br: 0.0727 0.0727 0.0000
Br: 0.7718 0.2718 0.5000
Cu: 0.4120 0.4120 0.0000
W: 0.2435 0.7435 0.5000

SG = Imm2, No. 44
raw formation energy = 721 meV per atom

***

(20)
The following is a PBE-GGA calculation of a relaxed Mg2FeRh crystal, from Alexandria.

Cell: 4.4217 4.4217 4.4217 Å, 119.88 119.88 90.21°
Positions (direct):
Fe: 0.7500 0.2500 0.5000
Mg: 0.0000 0.0000 0.0000
Mg: 0.2500 0.7500 0.5000
Rh: 0.5000 0.5000 0.0000

SG = I-4m2, No. 119
formation energy from the elements = -108 meV/atom